[1]
TbMg3Pt4: relaxed, PBE.

DOS at the Fermi energy = 3.4 states/eV per cell
Formation enthalpy at 0 K = -7.442 eV per formula unit

Unit cell a=4.853 b=6.046 c=9.563 alpha=90.00 beta=90.00 gamma=90.00
Fractional positions:
Pt  0.927  0.766  0.250
Pt  0.500  0.237  0.500
Pt  0.073  0.766  0.750
Pt  0.927  0.234  0.250
Pt  0.500  0.237  0.000
Pt  0.500  0.763  0.500
Pt  0.073  0.234  0.750
Pt  0.500  0.763  0.000
Mg  0.571  0.000  0.750
Mg  0.429  0.000  0.250
Mg  0.000  0.000  0.000
Mg  0.541  0.500  0.750
Mg  0.000  0.000  0.500
Mg  0.459  0.500  0.250
Tb  0.000  0.500  0.500
Tb  0.000  0.500  0.000

[2]
TbMg4Pt2: relaxed, PBE.

DOS at the Fermi energy = 7.9 states/eV per cell
Formation enthalpy at 0 K = -4.810 eV per formula unit

Unit cell a=4.471 b=7.995 c=7.995 alpha=90.00 beta=90.00 gamma=90.00
Fractional positions:
Pt  0.000  0.766  0.234
Pt  0.500  0.266  0.266
Pt  0.000  0.234  0.766
Pt  0.500  0.734  0.734
Mg  0.500  0.413  0.835
Mg  0.500  0.835  0.413
Mg  0.000  0.087  0.335
Mg  0.500  0.165  0.587
Mg  0.000  0.913  0.665
Mg  0.000  0.665  0.913
Mg  0.500  0.587  0.165
Mg  0.000  0.335  0.087
Tb  0.000  0.500  0.500
Tb  0.500  0.000  0.000

[3]
TbMgPt6: relaxed, PBE.

DOS at the Fermi energy = 8.0 states/eV per cell
Formation enthalpy at 0 K = -6.387 eV per formula unit

Unit cell a=4.061 b=4.061 c=8.041 alpha=90.00 beta=90.00 gamma=90.00
Fractional positions:
Tb  0.000  0.000  0.000
Pt  0.000  0.500  0.737
Pt  0.500  0.500  0.000
Pt  0.500  0.000  0.263
Pt  0.500  0.500  0.500
Pt  0.500  0.000  0.737
Pt  0.000  0.500  0.263
Mg  0.000  0.000  0.500

[4]
TbMg2Pt9: relaxed, PBE.

DOS at the Fermi energy = 11.9 states/eV per cell
Formation enthalpy at 0 K = -8.702 eV per formula unit

Unit cell a=4.029 b=4.029 c=12.013 alpha=90.00 beta=90.00 gamma=90.00
Fractional positions:
Pt  0.500  0.500  0.662
Pt  0.500  0.500  0.000
Pt  0.500  0.000  0.822
Pt  0.000  0.500  0.178
Pt  0.500  0.000  0.500
Pt  0.000  0.500  0.822
Pt  0.500  0.500  0.338
Pt  0.000  0.500  0.500
Pt  0.500  0.000  0.178
Mg  0.000  0.000  0.660
Mg  0.000  0.000  0.340
Tb  0.000  0.000  0.000

Among the records above, which one has the lowest formation enthalpy at 0 K? TbMg2Pt9

Which of these has the lowest formation enthalpy at 0 K? TbMg2Pt9

formation enthalpy at 0 K of number 3 (TbMgPt6)? -6.387 eV per formula unit